Here is a geometry-optimized Ho3Zn2Cu4 structure from Alexandria. Energies are from PBE.

```
9
Lattice="4.242 0.000 0.000 -2.121 4.856 -0.008 0.000 -1.303 8.201" Properties=species:S:1:pos:R:3 pbc="T T T"
Ho 0.000 2.844 5.093
Ho 0.000 0.000 0.000
Ho 2.121 0.709 3.100
Zn 0.000 2.723 1.890
Zn 2.121 0.831 6.303
Cu 2.121 2.068 0.635
Cu 0.000 -0.040 5.212
Cu 2.121 3.593 2.981
Cu 0.000 1.486 7.558
```

Properties
Energy relative to the elements   -2.5 eV per formula unit
Crystal system   monoclinic

=====

Here is a geometry-optimized ScTiN2O structure from Alexandria. Energies are from PBE.

```
5
Lattice="-3.155 1.377 -1.813 -1.047 -3.629 -0.935 -1.984 -0.265 3.250" Properties=species:S:1:pos:R:3 pbc="T T T"
Sc -3.093 -1.259 0.251
N -0.523 -1.814 -0.467
N -1.577 0.688 -0.907
O -0.992 -0.133 1.625
Ti 0.000 0.000 0.000
```

Properties
Formation energy without anion corrections   -1226 meV per atom
Crystal system   tetragonal

=====

Here is a geometry-optimized Si3Pb structure from Alexandria. Energies are from PBE.

```
4
Lattice="5.020 -0.308 0.000 1.256 4.870 0.000 -3.138 -2.281 3.201" Properties=species:S:1:pos:R:3 pbc="T T T"
Pb 0.000 0.000 0.000
Si 0.628 2.435 1.600
Si 3.138 2.281 0.000
Si 2.510 -0.154 1.600
```

Properties
Formation energy without anion corrections   725 meV per atom
Crystal system   tetragonal

=====

Here is a geometry-optimized CeNdPt2 structure from Alexandria. Energies are from PBE.

```
4
Lattice="3.578 0.000 0.000 0.000 3.578 0.000 0.000 0.000 7.228" Properties=species:S:1:pos:R:3 pbc="T T T"
Nd 1.789 1.789 3.614
Ce 1.789 1.789 0.000
Pt 0.000 0.000 5.519
Pt 0.000 0.000 1.709
```

Properties
Energy relative to the elements   -4.0 eV per formula unit
Crystal system   tetragonal

=====

Here is a geometry-optimized Li2AgSnH structure from Alexandria. Energies are from PBE.

```
5
Lattice="4.131 0.000 0.000 0.000 4.131 0.000 0.000 0.000 4.473" Properties=species:S:1:pos:R:3 pbc="T T T"
H 0.000 0.000 0.000
Sn 0.000 0.000 2.237
Ag 2.065 2.065 2.237
Li 0.000 2.065 0.000
Li 2.065 0.000 0.000
```

Properties
Energy   -2.944 eV/atom
Crystal system   tetragonal

=====

Here is a geometry-optimized Li8Tl2Pd structure from Alexandria. Energies are from PBE.

```
11
Lattice="4.466 1.179 0.000 1.871 7.080 0.000 0.936 3.540 6.835" Properties=species:S:1:pos:R:3 pbc="T T T"
Li 4.206 2.473 1.447
Li 5.141 6.013 5.388
Li 2.022 3.021 0.000
Li 4.104 7.670 2.597
Li 3.169 4.129 4.239
Li 4.315 5.238 0.000
Li 2.132 5.786 1.447
Li 3.067 9.326 5.388
Tl 0.936 3.540 2.641
Tl 1.871 7.080 4.195
Pd 2.233 0.589 0.000
```

Properties
Energy relative to the elements   -1.8 eV per formula unit
Crystal system   monoclinic

=====

Here is a geometry-optimized CeTm4Te5 structure from Alexandria. Energies are from PBE.

```
10
Lattice="-2.411 3.373 -1.158 -3.415 -3.660 -3.549 -3.795 -1.762 10.774" Properties=species:S:1:pos:R:3 pbc="T T T"
Ce 0.000 0.000 0.000
Tm -5.406 -1.536 6.786
Tm -6.901 -1.276 2.652
Tm -2.721 -0.773 3.415
Tm -4.215 -0.513 -0.719
Te -2.632 1.281 1.211
Te -5.263 0.534 4.514
Te -4.359 -2.583 1.553
Te -1.708 -1.830 -1.774
Te -6.990 -3.330 4.856
```

Properties
Formation energy without anion corrections   -1210 meV per atom
Crystal system   orthorhombic

=====

Here is a geometry-optimized ZnAgCl4 structure from Alexandria. Energies are from PBE.

```
6
Lattice="-3.325 -4.869 0.923 -5.138 -0.709 -2.953 -0.447 -4.160 -4.257" Properties=species:S:1:pos:R:3 pbc="T T T"
Zn -6.682 -7.303 -4.715
Ag 0.000 0.000 0.000
Cl -5.005 -6.089 -1.893
Cl -3.563 -5.733 -4.489
Cl -5.913 -4.004 -3.835
Cl -3.339 -3.649 -2.356
```

Properties
Formation energy without anion corrections   521 meV per atom
Crystal system   cubic

=====

Here is a geometry-optimized CaScSn structure from Alexandria. Energies are from PBE.

```
3
Lattice="3.657 0.000 0.000 0.000 5.125 0.000 0.000 -2.563 4.439" Properties=species:S:1:pos:R:3 pbc="T T T"
Sc 3.064 0.000 0.000
Ca 1.226 0.000 2.959
Sn 3.024 2.563 1.480
```

Properties
Energy relative to the elements   -1.0 eV per formula unit
Crystal system   trigonal

=====

Here is a geometry-optimized Tb2CoGe structure from Alexandria. Energies are from PBE.

```
8
Lattice="-0.382 -3.976 0.431 2.254 0.362 5.333 -7.954 0.780 0.149" Properties=species:S:1:pos:R:3 pbc="T T T"
Tb -3.031 -2.583 1.572
Tb -3.051 -0.251 4.342
Tb 1.228 -0.668 4.283
Tb -7.310 -2.165 1.631
Co -0.988 -0.692 2.100
Co -5.094 -2.141 3.814
Ge -1.132 -2.516 3.863
Ge -4.950 -0.317 2.051
```

Properties
Energy relative to the elements   -2.1 eV per formula unit
Crystal system   monoclinic

=====

Here is a geometry-optimized LaSc2Cl2 structure from Alexandria. Energies are from PBE.

```
10
Lattice="8.003 0.000 0.000 0.000 8.003 0.000 0.000 0.000 3.374" Properties=species:S:1:pos:R:3 pbc="T T T"
Sc 1.377 5.378 1.687
Sc 5.378 6.626 1.687
Sc 6.626 2.624 1.687
Sc 2.624 1.377 1.687
Cl 2.910 6.911 0.000
Cl 6.911 5.093 0.000
Cl 5.093 1.092 0.000
Cl 1.092 2.910 0.000
La 0.000 0.000 0.000
La 4.001 4.001 0.000
```

Properties
Formation energy without anion corrections   -685 meV per atom
Crystal system   tetragonal

=====

Here is a geometry-optimized Sr2AlGe3Ir4 structure from Alexandria. Energies are from PBE.

```
10
Lattice="-1.137 1.986 3.602 2.611 -2.539 2.225 7.851 6.908 -1.330" Properties=species:S:1:pos:R:3 pbc="T T T"
Sr 1.378 2.706 1.471
Sr 7.210 3.925 0.112
Al 4.662 3.178 2.248
Ge 3.926 3.454 -0.665
Ge 6.293 7.030 0.638
Ge 2.296 -0.398 0.944
Ir 0.737 -0.276 2.913
Ir 0.000 0.000 0.000
Ir 4.378 5.345 0.963
Ir 4.211 1.287 0.620
```

Properties
Energy relative to the elements   -6.5 eV per formula unit
Crystal system   tetragonal